# PBE Ce2Ho2Te5, optimized geometry
data_Ce2Ho2Te5
_chemical_formula_sum 'Ce8 Ho8 Te20'
_space_group_name_H-M_alt 'C m c e'
_space_group_IT_number 64
_space_group_name_Hall '-C 2ac 2'
_cell_length_a 15.886
_cell_length_b 8.314
_cell_length_c 8.288
_cell_angle_alpha 90.00
_cell_angle_beta 90.00
_cell_angle_gamma 90.00
loop_
_atom_site_label
_atom_site_type_symbol
_atom_site_fract_x
_atom_site_fract_y
_atom_site_fract_z
_atom_site_occupancy
Ce1 Ce 0.197 0.000 0.000 1
Ho1 Ho 0.000 0.146 0.351 1
Te1 Te 0.000 0.000 0.000 1
Te2 Te 0.135 0.159 0.655 1
# Uncorrected formation energy (eV per atom): -1.2783
# Calculated volume (Å³ per cell): 1095
# E (eV per cell): -192.95
# DOS(E_F) (states/eV per atom): 2.01